(1)
This record from Alexandria describes an optimized crystal structure of Na2TaReN4. The functional is PBE.

CIF file:
```
data_Na2TaReN4
_chemical_formula_sum 'Na4 Ta2 Re2 N8'
_space_group_name_H-M_alt 'I -4'
_space_group_IT_number 82
_cell_length_a 5.1965
_cell_length_b 5.1965
_cell_length_c 9.4375
_cell_angle_alpha 90.00
_cell_angle_beta 90.00
_cell_angle_gamma 90.00
loop_
_space_group_symop_operation_xyz
'x,y,z'
'y,-x,-z'
'-x,-y,z'
'-y,x,-z'
'x+1/2,y+1/2,z+1/2'
'y+1/2,-x+1/2,-z+1/2'
'-x+1/2,-y+1/2,z+1/2'
'-y+1/2,x+1/2,-z+1/2'
loop_
_atom_site_label
_atom_site_type_symbol
_atom_site_fract_x
_atom_site_fract_y
_atom_site_fract_z
_atom_site_occupancy
Na1 Na 0.0000 0.0000 0.0000 1
Na2 Na 0.0000 0.5000 0.2500 1
Ta1 Ta 0.0000 0.0000 0.5000 1
Re1 Re 0.0000 0.5000 0.7500 1
N1 N 0.1506 0.2608 0.6256 1
```

Total energy: -7.959 eV/atom
Raw formation energy: -3.431 eV/f.u.



(2)
This record from Alexandria describes an optimized crystal structure of Na2Hg2I. The functional is PBE.

CIF file:
```
data_Na2Hg2I
_chemical_formula_sum 'Na4 Hg4 I2'
_space_group_name_H-M_alt 'I 4/m m m'
_space_group_IT_number 139
_space_group_name_Hall '-I 4 2'
_cell_length_a 5.2477
_cell_length_b 5.2477
_cell_length_c 12.2610
_cell_angle_alpha 90.00
_cell_angle_beta 90.00
_cell_angle_gamma 90.00
loop_
_atom_site_label
_atom_site_type_symbol
_atom_site_fract_x
_atom_site_fract_y
_atom_site_fract_z
_atom_site_occupancy
Na1 Na 0.0000 0.5000 0.2500 1
Hg1 Hg 0.0000 0.0000 0.1154 1
I1 I 0.0000 0.0000 0.5000 1
```

Total energy: -1.288 eV/atom
Raw formation energy: -1.646 eV/f.u.
Distance to the lowest polymorph of the same formula: 0.56 eV per formula unit



(3)
This record from Alexandria describes an optimized crystal structure of TcTe5. The functional is PBE.

CIF file:
```
data_TcTe5
_chemical_formula_sum 'Tc2 Te10'
_space_group_name_H-M_alt 'C 1 m 1'
_space_group_IT_number 8
_cell_length_a 14.9574
_cell_length_b 3.5235
_cell_length_c 8.2609
_cell_angle_alpha 90.00
_cell_angle_beta 107.77
_cell_angle_gamma 90.00
loop_
_space_group_symop_operation_xyz
'x,y,z'
'x,-y,z'
'x+1/2,y+1/2,z'
'x+1/2,-y+1/2,z'
loop_
_atom_site_label
_atom_site_type_symbol
_atom_site_fract_x
_atom_site_fract_y
_atom_site_fract_z
_atom_site_occupancy
Tc1 Tc 0.0000 0.0000 0.0000 1
Te1 Te 0.0608 0.0000 0.3499 1
Te2 Te 0.1487 0.5000 0.1277 1
Te3 Te 0.1904 0.5000 0.7760 1
Te4 Te 0.3753 0.0000 0.0496 1
Te5 Te 0.4904 0.0000 0.7476 1
```

Total energy: -4.264 eV/atom
Raw formation energy: 0.488 eV/f.u.



(4)
This record from Alexandria describes an optimized crystal structure of BaBe4Pt. The functional is PBE.

CIF file:
```
data_BaBe4Pt
_chemical_formula_sum 'Ba4 Be16 Pt4'
_space_group_name_H-M_alt 'F -4 3 m'
_space_group_IT_number 216
_space_group_name_Hall 'F -4 2 3'
_cell_length_a 7.0857
_cell_length_b 7.0857
_cell_length_c 7.0857
_cell_angle_alpha 90.00
_cell_angle_beta 90.00
_cell_angle_gamma 90.00
loop_
_atom_site_label
_atom_site_type_symbol
_atom_site_fract_x
_atom_site_fract_y
_atom_site_fract_z
_atom_site_occupancy
Ba1 Ba 0.0000 0.0000 0.0000 1
Be1 Be 0.1157 0.1157 0.6157 1
Pt1 Pt 0.2500 0.2500 0.2500 1
```

Total energy: -3.499 eV/atom
Energy of formation from the pure elements: 0.312 eV/atom



(5)
This record from Alexandria describes an optimized crystal structure of Ce2IrPt. The functional is PBE.

CIF file:
```
data_Ce2IrPt
_chemical_formula_sum 'Ce6 Ir3 Pt3'
_space_group_name_H-M_alt 'R -3 m'
_space_group_IT_number 166
_space_group_name_Hall '-R 3 2"'
_cell_length_a 2.9835
_cell_length_b 2.9835
_cell_length_c 31.2108
_cell_angle_alpha 90.00
_cell_angle_beta 90.00
_cell_angle_gamma 120.00
loop_
_atom_site_label
_atom_site_type_symbol
_atom_site_fract_x
_atom_site_fract_y
_atom_site_fract_z
_atom_site_occupancy
Ce1 Ce 0.0000 0.0000 0.0880 1
Ir1 Ir 0.0000 0.0000 0.5000 1
Pt1 Pt 0.0000 0.0000 0.0000 1
```

Total energy: -6.848 eV/atom
Energy of formation from the pure elements: -0.156 eV/atom



(6)
This record from Alexandria describes an optimized crystal structure of Pm3TeO. The functional is PBE.

CIF file:
```
data_Pm3TeO
_chemical_formula_sum 'Pm3 Te1 O1'
_space_group_name_H-M_alt 'P m -3 m'
_space_group_IT_number 221
_space_group_name_Hall '-P 4 2 3'
_cell_length_a 4.9072
_cell_length_b 4.9072
_cell_length_c 4.9072
_cell_angle_alpha 90.00
_cell_angle_beta 90.00
_cell_angle_gamma 90.00
loop_
_atom_site_label
_atom_site_type_symbol
_atom_site_fract_x
_atom_site_fract_y
_atom_site_fract_z
_atom_site_occupancy
Pm1 Pm 0.0000 0.0000 0.5000 1
Te1 Te 0.5000 0.5000 0.5000 1
O1 O 0.0000 0.0000 0.0000 1
```

Total energy: -5.898 eV/atom
Raw formation energy: -7.139 eV/f.u.